No. 1
DFT (PBE) results for crystalline Dy4CdCu2Ru at its relaxed geometry.

Calculated values
total magnetization = 0.000 μB/atom
ΔH_f (0 K) = -307 meV per atom
symmetry = No. 166

Structure (POSCAR):
```
Dy4CdCu2Ru
1.0
2.500 1.443 8.103
-2.500 1.443 8.103
0.000 -2.887 8.103
Dy Cd Cu Ru
4 1 2 1
Direct
0.116 0.116 0.116
0.368 0.368 0.368
0.632 0.632 0.632
0.884 0.884 0.884
0.500 0.500 0.500
0.244 0.244 0.244
0.756 0.756 0.756
0.000 0.000 0.000
```

No. 2
DFT (PBE) results for crystalline Rb2LiCoBr6 at its relaxed geometry.

Calculated values
total magnetization = 0.000 μB/atom
ΔE_f (raw) = -1.0751 eV/atom
symmetry = No. 225

Structure (POSCAR):
```
Rb2LiCoBr6
1.0
0.000 5.243 5.243
5.243 0.000 5.243
5.243 5.243 0.000
Rb Li Co Br
2 1 1 6
Direct
0.250 0.250 0.250
0.750 0.750 0.750
0.000 0.000 0.000
0.500 0.500 0.500
0.267 0.267 0.733
0.267 0.733 0.267
0.267 0.733 0.733
0.733 0.267 0.267
0.733 0.267 0.733
0.733 0.733 0.267
```